Entry from Alexandria: crystalline NbSi2Br at its relaxed geometry (GGA-PBE).

Values from the calculation:
DFT total energy = -4.807 eV per atom
energy relative to the elements, uncorrected = 0.840 eV/atom

CIF file:
```
data_NbSi2Br
_cell_length_a 6.5675
_cell_length_b 6.5675
_cell_length_c 6.5675
_cell_angle_alpha 90.00
_cell_angle_beta 90.00
_cell_angle_gamma 90.00
_space_group_name_H-M_alt 'F m -3 m'
_space_group_IT_number 225
_space_group_name_Hall '-F 4 2 3'
loop_
_atom_site_label
_atom_site_type_symbol
_atom_site_fract_x
_atom_site_fract_y
_atom_site_fract_z
_atom_site_occupancy
Nb1 Nb 0.0000 0.0000 0.0000 1
Si1 Si 0.2500 0.2500 0.2500 1
Br1 Br 0.0000 0.0000 0.5000 1
```

---

Entry from Alexandria: crystalline NbSi3Br at its relaxed geometry (GGA-PBE).

Values from the calculation:
DFT total energy = -3.983 eV per atom
energy relative to the elements, uncorrected = 1.620 eV/atom

CIF file:
```
data_NbSi3Br
_cell_length_a 4.7254
_cell_length_b 4.7254
_cell_length_c 4.7254
_cell_angle_alpha 90.00
_cell_angle_beta 90.00
_cell_angle_gamma 90.00
_space_group_name_H-M_alt 'P m -3 m'
_space_group_IT_number 221
_space_group_name_Hall '-P 4 2 3'
loop_
_atom_site_label
_atom_site_type_symbol
_atom_site_fract_x
_atom_site_fract_y
_atom_site_fract_z
_atom_site_occupancy
Nb1 Nb 0.0000 0.0000 0.0000 1
Si1 Si 0.0000 0.5000 0.5000 1
Br1 Br 0.5000 0.5000 0.5000 1
```

---

Entry from Alexandria: crystalline Nb2SiBr at its relaxed geometry (GGA-PBE).

Values from the calculation:
DFT total energy = -6.651 eV per atom
energy relative to the elements, uncorrected = 0.157 eV/atom

CIF file:
```
data_Nb2SiBr
_cell_length_a 6.4827
_cell_length_b 6.4827
_cell_length_c 6.4827
_cell_angle_alpha 90.00
_cell_angle_beta 90.00
_cell_angle_gamma 90.00
_space_group_name_H-M_alt 'F m -3 m'
_space_group_IT_number 225
_space_group_name_Hall '-F 4 2 3'
loop_
_atom_site_label
_atom_site_type_symbol
_atom_site_fract_x
_atom_site_fract_y
_atom_site_fract_z
_atom_site_occupancy
Nb1 Nb 0.2500 0.2500 0.2500 1
Si1 Si 0.0000 0.0000 0.0000 1
Br1 Br 0.0000 0.0000 0.5000 1
```

---

Entry from Alexandria: crystalline NbSiBr2 at its relaxed geometry (GGA-PBE).

Values from the calculation:
DFT total energy = -4.605 eV per atom
energy relative to the elements, uncorrected = 0.104 eV/atom

CIF file:
```
data_NbSiBr2
_cell_length_a 3.2258
_cell_length_b 3.2258
_cell_length_c 35.7358
_cell_angle_alpha 90.00
_cell_angle_beta 90.00
_cell_angle_gamma 120.00
_space_group_name_H-M_alt 'R -3 m'
_space_group_IT_number 166
_space_group_name_Hall '-R 3 2"'
loop_
_atom_site_label
_atom_site_type_symbol
_atom_site_fract_x
_atom_site_fract_y
_atom_site_fract_z
_atom_site_occupancy
Nb1 Nb 0.0000 0.0000 0.0000 1
Si1 Si 0.0000 0.0000 0.5000 1
Br1 Br 0.0000 0.0000 0.3872 1
```

---

Entry from Alexandria: crystalline NbSiBr2 at its relaxed geometry (GGA-PBE).

Values from the calculation:
DFT total energy = -4.158 eV per atom
energy relative to the elements, uncorrected = 0.552 eV/atom

CIF file:
```
data_NbSiBr2
_cell_length_a 6.7254
_cell_length_b 6.7254
_cell_length_c 6.7254
_cell_angle_alpha 90.00
_cell_angle_beta 90.00
_cell_angle_gamma 90.00
_space_group_name_H-M_alt 'F m -3 m'
_space_group_IT_number 225
_space_group_name_Hall '-F 4 2 3'
loop_
_atom_site_label
_atom_site_type_symbol
_atom_site_fract_x
_atom_site_fract_y
_atom_site_fract_z
_atom_site_occupancy
Nb1 Nb 0.0000 0.0000 0.0000 1
Si1 Si 0.0000 0.0000 0.5000 1
Br1 Br 0.2500 0.2500 0.2500 1
```

---

Entry from Alexandria: crystalline NbSiBr2 at its relaxed geometry (GGA-PBE).

Values from the calculation:
DFT total energy = -4.528 eV per atom
energy relative to the elements, uncorrected = 0.181 eV/atom

CIF file:
```
data_NbSiBr2
_cell_length_a 9.5497
_cell_length_b 9.5497
_cell_length_c 5.0454
_cell_angle_alpha 90.00
_cell_angle_beta 90.00
_cell_angle_gamma 90.00
_space_group_name_H-M_alt 'I -4 2 d'
_space_group_IT_number 122
_space_group_name_Hall 'I -4 2bw'
loop_
_atom_site_label
_atom_site_type_symbol
_atom_site_fract_x
_atom_site_fract_y
_atom_site_fract_z
_atom_site_occupancy
Nb1 Nb 0.0000 0.0000 0.0000 1
Si1 Si 0.0000 0.0000 0.5000 1
Br1 Br 0.1021 0.2500 0.1250 1
```

---

Q: Which ΔE to the lowest computed polymorph values were calculated for the entries above? A: 0.0; 962.3; 0.0; 0.0; 447.0; 76.9, in meV per atom.
Q: Which V values were calculated for the entries above? A: 17.704; 21.103; 17.027; 26.836; 19.012; 28.758, in A^3/atom.